Record 1
VASP calculation (PBE) on an optimized crystal structure of Pr8Si3Cl4F.

As for the spin magnetization: 0.00 μB/atom. As for the uncorrected formation energy: -1.327 eV per atom. The value obtained for the raw total energy is -5.312 eV per atom.

It has space group R-3m (No. 166, hexagonal axes), with a = 8.3473 Å, b = 8.3473 Å, c = 21.0841 Å, α = 90.00°, β = 90.00° and γ = 120.00°. The asymmetric unit holds Pr at (0.0000, 0.0000, 0.2426), Pr at (0.0019, 0.5010, 0.7599), Si at (0.0000, 0.5000, 0.5000), Cl at (0.0000, 0.0000, 0.0000), Cl at (0.0000, 0.5000, 0.0000) and F at (0.0000, 0.0000, 0.5000).



Record 2
VASP calculation (PBE) on an optimized crystal structure of PtCl2F.

The energy above the lowest structure with this stoichiometry comes out at 0.533 eV per atom. As for the spin magnetization: 0.25 μB/atom. As for the uncorrected formation energy: -0.032 eV per atom. The value obtained for the raw total energy is -2.934 eV per atom.

It has space group R-3m (No. 166, hexagonal axes), with a = 3.6635 Å, b = 3.6635 Å, c = 21.8946 Å, α = 90.00°, β = 90.00° and γ = 120.00°. The asymmetric unit holds Pt at (0.0000, 0.0000, 0.0000), Cl at (0.0000, 0.0000, 0.3960) and F at (0.0000, 0.0000, 0.5000).



Record 3
VASP calculation (PBE) on an optimized crystal structure of PtClF3.

The energy above the lowest structure with this stoichiometry comes out at 0.035 eV per atom. As for the spin magnetization: 0.07 μB/atom. As for the uncorrected formation energy: -0.907 eV per atom. The value obtained for the raw total energy is -3.607 eV per atom.

It has space group P2_1 (No. 4), with a = 5.698 Å, b = 5.053 Å, c = 6.390 Å, α = 90.00°, β = 90.09° and γ = 90.00°. The asymmetric unit holds Pt at (0.250, 0.000, 0.009), Cl at (0.250, 0.784, 0.319), F at (0.002, 0.753, 0.880), F at (0.250, 0.199, 0.745) and F at (0.497, 0.753, 0.880).



Record 4
VASP calculation (PBE) on an optimized crystal structure of PtCl2F.

The energy above the lowest structure with this stoichiometry comes out at 0.000 eV per atom. As for the spin magnetization: 0.00 μB/atom. As for the uncorrected formation energy: -0.566 eV per atom. The value obtained for the raw total energy is -3.467 eV per atom.

It has space group Pnna (No. 52), with a = 6.134 Å, b = 5.455 Å, c = 9.855 Å, α = 90.00°, β = 90.00° and γ = 90.00°. The asymmetric unit holds Pt at (0.250, 0.000, 0.093), Cl at (0.069, 0.235, 0.915) and F at (0.133, 0.250, 0.250).



Record 5
VASP calculation (PBE) on an optimized crystal structure of Pt2ClF.

The energy above the lowest structure with this stoichiometry comes out at 0.165 eV per atom. As for the spin magnetization: 0.22 μB/atom. As for the uncorrected formation energy: 0.528 eV per atom. The value obtained for the raw total energy is -3.422 eV per atom.

It has space group Fm-3m (No. 225), with a = 6.182 Å, b = 6.182 Å, c = 6.182 Å, α = 90.00°, β = 90.00° and γ = 90.00°. The asymmetric unit holds Pt at (0.250, 0.250, 0.250), Cl at (0.000, 0.000, 0.000) and F at (0.000, 0.000, 0.500).



Record 6
VASP calculation (PBE) on an optimized crystal structure of PtClF3.

The energy above the lowest structure with this stoichiometry comes out at 0.464 eV per atom. As for the spin magnetization: 0.24 μB/atom. As for the uncorrected formation energy: -0.478 eV per atom. The value obtained for the raw total energy is -3.179 eV per atom.

It has space group Pm-3m (No. 221), with a = 4.197 Å, b = 4.197 Å, c = 4.197 Å, α = 90.00°, β = 90.00° and γ = 90.00°. The asymmetric unit holds Pt at (0.000, 0.000, 0.000), Cl at (0.500, 0.500, 0.500) and F at (0.000, 0.000, 0.500).



Record 7
VASP calculation (PBE) on an optimized crystal structure of PtClF3.

The energy above the lowest structure with this stoichiometry comes out at 0.000 eV per atom. As for the spin magnetization: 0.00 μB/atom. As for the uncorrected formation energy: -0.942 eV per atom. The value obtained for the raw total energy is -3.643 eV per atom.

It has space group P4_1 (No. 76), with a = 5.789 Å, b = 5.789 Å, c = 9.879 Å, α = 90.00°, β = 90.00° and γ = 90.00°. The asymmetric unit holds Pt at (0.159, 0.668, 0.000), Cl at (0.164, 0.379, 0.618), F at (0.001, 0.176, 0.342), F at (0.123, 0.380, 0.909) and F at (0.332, 0.498, 0.144).



Record 8
VASP calculation (PBE) on an optimized crystal structure of PtCl2F.

The energy above the lowest structure with this stoichiometry comes out at 0.662 eV per atom. As for the spin magnetization: 0.16 μB/atom. As for the uncorrected formation energy: 0.096 eV per atom. The value obtained for the raw total energy is -2.805 eV per atom.

It has space group R-3m (No. 166, hexagonal axes), with a = 3.0940 Å, b = 3.0940 Å, c = 25.2241 Å, α = 90.00°, β = 90.00° and γ = 120.00°. The asymmetric unit holds Pt at (0.0000, 0.0000, 0.0000), Cl at (0.0000, 0.0000, 0.0876) and F at (0.0000, 0.0000, 0.5000).